(1)
DFT (PBE) results for Pm4SCl5 after structural relaxation.

Values from the calculation:
Theoretical density (Mg/m³): 4.729
Calculated total energy (eV/atom): -5.170
Formation energy (no corrections) (eV/atom): -1.93

Cell: 9.074 9.074 8.181 Å, 104.02 104.02 25.13°
Sites, in units of the cell vectors:
Pm 0.002 0.002 0.275
Pm 0.346 0.346 0.416
Pm 0.654 0.654 0.584
Pm 0.998 0.998 0.725
S 0.500 0.500 0.500
Cl 0.163 0.163 0.836
Cl 0.173 0.173 0.337
Cl 0.500 0.500 0.000
Cl 0.827 0.827 0.663
Cl 0.837 0.837 0.164

=====

(2)
DFT (PBE) results for Pm2SCl after structural relaxation.

Values from the calculation:
Theoretical density (Mg/m³): 6.135
Energy above the lowest structure with this stoichiometry (meV per atom): 0
Calculated total energy (eV/atom): -5.561
Formation energy (no corrections) (eV/atom): -1.69

Cell: 7.536 7.536 7.536 Å, 30.34 30.34 30.34°
Sites, in units of the cell vectors:
Pm 0.237 0.237 0.237
Pm 0.763 0.763 0.763
S 0.500 0.500 0.500
Cl 0.000 0.000 0.000

=====

(3)
DFT (PBE) results for Pm7SCl12 after structural relaxation.

Values from the calculation:
Theoretical density (Mg/m³): 4.220
Calculated total energy (eV/atom): -5.031
Formation energy (no corrections) (eV/atom): -2.05

Cell: 8.928 8.928 8.928 Å, 107.79 107.79 107.79°
Sites, in units of the cell vectors:
Pm 0.000 0.000 0.000
Pm 0.174 0.383 0.464
Pm 0.383 0.464 0.174
Pm 0.464 0.174 0.383
Pm 0.536 0.826 0.617
Pm 0.617 0.536 0.826
Pm 0.826 0.617 0.536
S 0.500 0.500 0.500
Cl 0.025 0.340 0.112
Cl 0.112 0.025 0.340
Cl 0.187 0.720 0.577
Cl 0.280 0.423 0.813
Cl 0.340 0.112 0.025
Cl 0.423 0.813 0.280
Cl 0.577 0.187 0.720
Cl 0.660 0.888 0.975
Cl 0.720 0.577 0.187
Cl 0.813 0.280 0.423
Cl 0.888 0.975 0.660
Cl 0.975 0.660 0.888

=====

(4)
DFT (PBE) results for Pm4S3Cl4 after structural relaxation.

Values from the calculation:
Theoretical density (Mg/m³): 5.319
Calculated total energy (eV/atom): -5.534
Formation energy (no corrections) (eV/atom): -2.01

Cell: 9.562 9.562 9.562 Å, 157.93 128.69 56.51°
Sites, in units of the cell vectors:
Pm 0.225 0.225 0.000
Pm 0.234 0.000 0.234
Pm 0.766 0.000 0.766
Pm 0.775 0.775 0.000
S 0.092 0.592 0.500
S 0.500 0.500 0.000
S 0.908 0.408 0.500
Cl 0.145 0.828 0.317
Cl 0.489 0.172 0.317
Cl 0.511 0.828 0.683
Cl 0.855 0.172 0.683

=====

(5)
DFT (PBE) results for Pm3SCl3 after structural relaxation.

Values from the calculation:
Theoretical density (Mg/m³): 4.523
Calculated total energy (eV/atom): -5.312
Formation energy (no corrections) (eV/atom): -1.90

Cell: 10.906 10.906 10.906 Å, 37.00 37.00 37.00°
Sites, in units of the cell vectors:
Pm 0.105 0.449 0.793
Pm 0.207 0.895 0.551
Pm 0.449 0.793 0.105
Pm 0.551 0.207 0.895
Pm 0.793 0.105 0.449
Pm 0.895 0.551 0.207
S 0.167 0.167 0.167
S 0.833 0.833 0.833
Cl 0.068 0.719 0.394
Cl 0.281 0.606 0.932
Cl 0.394 0.068 0.719
Cl 0.606 0.932 0.281
Cl 0.719 0.394 0.068
Cl 0.932 0.281 0.606

=====

(6)
DFT (PBE) results for Pm4Se2SCl after structural relaxation.

Values from the calculation:
Theoretical density (Mg/m³): 6.699
Calculated total energy (eV/atom): -5.743
Formation energy (no corrections) (eV/atom): -1.75

Cell: 7.136 4.154 7.151 Å, 90.00 109.65 90.00°
Sites, in units of the cell vectors:
Pm 0.235 0.000 0.226
Pm 0.249 0.500 0.771
Pm 0.751 0.500 0.229
Pm 0.765 0.000 0.774
Se 0.500 0.000 0.000
Se 0.500 0.500 0.500
S 0.000 0.500 0.000
Cl 0.000 0.000 0.500

=====

(7)
DFT (PBE) results for Pm6Se3S2Cl after structural relaxation.

Values from the calculation:
Theoretical density (Mg/m³): 6.746
Calculated total energy (eV/atom): -5.896
Formation energy (no corrections) (eV/atom): -1.81

Cell: 9.150 9.150 8.316 Å, 101.28 101.28 25.81°
Sites, in units of the cell vectors:
Pm 0.009 0.009 0.256
Pm 0.329 0.329 0.428
Pm 0.332 0.332 0.896
Pm 0.668 0.668 0.104
Pm 0.671 0.671 0.572
Pm 0.991 0.991 0.744
Se 0.163 0.163 0.836
Se 0.500 0.500 0.500
Se 0.837 0.837 0.164
S 0.169 0.169 0.338
S 0.831 0.831 0.662
Cl 0.500 0.500 0.000

=====

(8)
DFT (PBE) results for Pm4SeS2Cl after structural relaxation.

Values from the calculation:
Theoretical density (Mg/m³): 6.567
Calculated total energy (eV/atom): -5.840
Formation energy (no corrections) (eV/atom): -1.77

Cell: 7.042 5.774 7.068 Å, 65.61 48.30 66.08°
Sites, in units of the cell vectors:
Pm 0.249 0.751 0.249
Pm 0.517 0.970 0.483
Pm 0.751 0.249 0.751
Pm 0.970 0.517 0.030
Se 0.018 0.018 0.982
S 0.250 0.250 0.250
S 0.750 0.750 0.750
Cl 0.470 0.470 0.530

=====

(9)
DFT (PBE) results for Pm8Se4S3Cl after structural relaxation.

Values from the calculation:
Theoretical density (Mg/m³): 6.725
Calculated total energy (eV/atom): -5.982
Formation energy (no corrections) (eV/atom): -1.85

Cell: 8.243 8.243 8.243 Å, 60.10 60.10 60.10°
Sites, in units of the cell vectors:
Pm 0.228 0.754 0.754
Pm 0.242 0.242 0.242
Pm 0.246 0.246 0.772
Pm 0.246 0.772 0.246
Pm 0.754 0.228 0.754
Pm 0.754 0.754 0.228
Pm 0.758 0.758 0.758
Pm 0.772 0.246 0.246
Se 0.000 0.000 0.000
Se 0.000 0.500 0.500
Se 0.500 0.000 0.500
Se 0.500 0.500 0.000
S 0.000 0.000 0.500
S 0.000 0.500 0.000
S 0.500 0.000 0.000
Cl 0.500 0.500 0.500

=====

(10)
DFT (PBE) results for Pm6Si3S2Cl after structural relaxation.

Values from the calculation:
Theoretical density (Mg/m³): 5.677
Calculated total energy (eV/atom): -5.887
Formation energy (no corrections) (eV/atom): -1.31

Cell: 9.314 9.314 8.337 Å, 102.55 102.55 25.92°
Sites, in units of the cell vectors:
Pm 0.000 0.000 0.236
Pm 0.000 0.000 0.764
Pm 0.328 0.328 0.415
Pm 0.334 0.334 0.916
Pm 0.666 0.666 0.084
Pm 0.672 0.672 0.585
Si 0.164 0.164 0.333
Si 0.500 0.500 0.000
Si 0.836 0.836 0.667
S 0.167 0.167 0.832
S 0.833 0.833 0.168
Cl 0.500 0.500 0.500

=====

(11)
DFT (PBE) results for Pm8Si3S4Cl after structural relaxation.

Values from the calculation:
Theoretical density (Mg/m³): 5.858
Calculated total energy (eV/atom): -6.048
Formation energy (no corrections) (eV/atom): -1.51

Cell: 8.253 8.253 8.253 Å, 60.18 60.18 60.18°
Sites, in units of the cell vectors:
Pm 0.250 0.250 0.250
Pm 0.257 0.257 0.740
Pm 0.257 0.740 0.257
Pm 0.260 0.743 0.743
Pm 0.740 0.257 0.257
Pm 0.743 0.260 0.743
Pm 0.743 0.743 0.260
Pm 0.750 0.750 0.750
Si 0.000 0.500 0.500
Si 0.500 0.000 0.500
Si 0.500 0.500 0.000
S 0.000 0.000 0.500
S 0.000 0.500 0.000
S 0.500 0.000 0.000
S 0.500 0.500 0.500
Cl 0.000 0.000 0.000

=====

(12)
DFT (PBE) results for Pm6SiS2Cl3 after structural relaxation.

Values from the calculation:
Theoretical density (Mg/m³): 5.938
Calculated total energy (eV/atom): -5.519
Formation energy (no corrections) (eV/atom): -1.54

Cell: 9.295 9.295 8.203 Å, 104.86 104.86 25.91°
Sites, in units of the cell vectors:
Pm 0.010 0.010 0.238
Pm 0.326 0.326 0.442
Pm 0.339 0.339 0.895
Pm 0.661 0.661 0.105
Pm 0.674 0.674 0.558
Pm 0.990 0.990 0.762
Si 0.500 0.500 0.000
S 0.169 0.169 0.333
S 0.831 0.831 0.667
Cl 0.163 0.163 0.828
Cl 0.500 0.500 0.500
Cl 0.837 0.837 0.172